Record 1
## Sr3Li7Ca2 (PBE)

Data for crystalline Sr3Li7Ca2 at its relaxed geometry.

## Properties
Formation energy ... 38 meV/atom
Total magnetization ... 0.0 Bohr magnetons per cell
Total DFT energy (no corrections) ... -1.832 eV per atom

Lattice parameters (Å, degrees): 10.8898 10.8898 10.8898 36.03 36.03 36.03
With the nearest neighbours (Å) after each atom.
Fractional positions:
Sr 0.0000 0.0000 0.0000  6 Ca 3.89, 2 Sr 4.20, 12 Li 4.34
Sr 0.1376 0.1376 0.1376  12 Li 3.67-3.99
Sr 0.8624 0.8624 0.8624  12 Li 3.67-3.99
Li 0.0877 0.5910 0.5910  5 Li 3.05-3.39, 2 Ca 3.36
Li 0.4090 0.4090 0.9123  5 Li 3.05-3.39, 2 Ca 3.36
Li 0.4090 0.9123 0.4090  5 Li 3.05-3.39, 2 Ca 3.36
Li 0.5000 0.5000 0.5000  6 Li 3.05
Li 0.5910 0.0877 0.5910  5 Li 3.05-3.39, 2 Ca 3.36
Li 0.5910 0.5910 0.0877  5 Li 3.05-3.39, 2 Ca 3.36
Li 0.9123 0.4090 0.4090  5 Li 3.05-3.39, 2 Ca 3.36
Ca 0.3337 0.3337 0.3337  6 Li 3.36
Ca 0.6663 0.6663 0.6663  6 Li 3.36



Record 2
## TmTcH3 (PBE)

Data for crystalline TmTcH3 at its relaxed geometry.

## Properties
Total magnetization ... 0.0 Bohr magnetons per cell
Total DFT energy (no corrections) ... -5.354 eV per atom

Lattice parameters (Å, degrees): 3.6188 3.6188 3.6188 90.00 90.00 90.00
With the nearest neighbours (Å) after each atom.
Fractional positions:
Tm 0.0000 0.0000 0.0000  12 H 2.56
Tc 0.5000 0.5000 0.5000  6 H 1.81
H 0.0000 0.5000 0.5000  2 Tc 1.81
H 0.5000 0.0000 0.5000  2 Tc 1.81
H 0.5000 0.5000 0.0000  2 Tc 1.81



Record 3
## Na2NpPaS6 (PBE)

Data for crystalline Na2NpPaS6 at its relaxed geometry.

## Properties
Formation energy from raw total energies ... -1.27 eV/atom
Total magnetization ... 4.0 Bohr magnetons per cell
Total DFT energy (no corrections) ... -6.249 eV per atom

Lattice parameters (Å, degrees): 6.8360 7.2627 12.0944 90.00 124.22 90.00
With the nearest neighbours (Å) after each atom.
Fractional positions:
Na 0.2251 0.0758 0.2494  6 S 2.93-3.19
Na 0.2251 0.4242 0.7494  6 S 2.93-3.19
Na 0.7749 0.5758 0.2506  6 S 2.93-3.19
Na 0.7749 0.9242 0.7506  6 S 2.93-3.19
Np 0.0000 0.0000 0.5000  6 S 2.60-2.61
Np 0.0000 0.5000 0.0000  6 S 2.60-2.61
Pa 0.5000 0.0000 0.0000  6 S 2.63-2.65
Pa 0.5000 0.5000 0.5000  6 S 2.63-2.65
S 0.1304 0.1980 0.9407  1 Np 2.61, 1 Pa 2.63
S 0.1304 0.3020 0.4407  1 Np 2.61, 1 Pa 2.63
S 0.2471 0.6953 0.9405  1 Np 2.60, 1 Pa 2.65
S 0.2471 0.8047 0.4405  1 Np 2.60, 1 Pa 2.65
S 0.3597 0.0344 0.7483  1 Np 2.61, 1 Pa 2.64
S 0.3597 0.4656 0.2483  1 Np 2.61, 1 Pa 2.64
S 0.6403 0.5344 0.7517  1 Np 2.61, 1 Pa 2.64
S 0.6403 0.9656 0.2517  1 Np 2.61, 1 Pa 2.64
S 0.7529 0.1953 0.5595  1 Np 2.60, 1 Pa 2.65
S 0.7529 0.3047 0.0595  1 Np 2.60, 1 Pa 2.65
S 0.8696 0.6980 0.5593  1 Np 2.61, 1 Pa 2.63
S 0.8696 0.8020 0.0593  1 Np 2.61, 1 Pa 2.63



Record 4
## TbTeBrO4 (PBE)

Data for crystalline TbTeBrO4 at its relaxed geometry.

## Properties
Formation energy from raw total energies ... -1.68 eV/atom
Total magnetization ... 0.0 Bohr magnetons per cell
Total DFT energy (no corrections) ... -5.867 eV per atom

Lattice parameters (Å, degrees): 6.4683 6.4683 7.0428 103.62 103.62 68.37
With the nearest neighbours (Å) after each atom.
Fractional positions:
Tb 0.2299 0.2299 0.1208  6 O 2.31-2.57
Tb 0.7701 0.7701 0.8792  6 O 2.31-2.57
Te 0.3654 0.3654 0.7325  4 O 1.82-1.86
Te 0.6346 0.6346 0.2675  4 O 1.82-1.86
Br 0.0077 0.0077 0.7571  2 Tb 2.91-2.96, 1 O 3.17
Br 0.9923 0.9923 0.2429  2 Tb 2.91-2.96, 1 O 3.17
O 0.1112 0.4824 0.8555  1 Te 1.86
O 0.2953 0.2953 0.4651  1 Te 1.82
O 0.4571 0.4571 0.1963  1 Te 1.82
O 0.4824 0.1112 0.8555  1 Te 1.86
O 0.5176 0.8888 0.1445  1 Te 1.86
O 0.5429 0.5429 0.8037  1 Te 1.82
O 0.7047 0.7047 0.5349  1 Te 1.82
O 0.8888 0.5176 0.1445  1 Te 1.86



Record 5
## Pr7Sm12Ho (PBE)

Data for crystalline Pr7Sm12Ho at its relaxed geometry.

## Properties
Formation energy ... 600 meV/atom
Energy relative to the lowest polymorph listed for this composition ... 36.6 kJ per mole of atoms
Total magnetization ... 0.0 Bohr magnetons per cell
Total DFT energy (no corrections) ... -4.133 eV per atom

Lattice parameters (Å, degrees): 10.0191 10.0191 10.0191 109.47 109.47 109.47
With the nearest neighbours (Å) after each atom.
Fractional positions:
Pr 0.0000 0.0000 0.5000  6 Sm 2.89
Pr 0.0000 0.5000 0.0000  6 Sm 2.89
Pr 0.0000 0.5000 0.5000  12 Sm 4.09-4.16
Pr 0.5000 0.0000 0.0000  6 Sm 2.89
Pr 0.5000 0.0000 0.5000  12 Sm 4.09-4.16
Pr 0.5000 0.5000 0.0000  12 Sm 4.09-4.16
Pr 0.5000 0.5000 0.5000  6 Sm 2.89
Sm 0.0000 0.2456 0.7544  2 Pr 2.89
Sm 0.0000 0.7544 0.2456  2 Pr 2.89
Sm 0.2456 0.0000 0.7544  2 Pr 2.89
Sm 0.2456 0.2456 0.4913  2 Pr 2.89
Sm 0.2456 0.4913 0.2456  2 Pr 2.89
Sm 0.2456 0.7544 0.0000  2 Pr 2.89
Sm 0.4913 0.2456 0.2456  2 Pr 2.89
Sm 0.5087 0.7544 0.7544  2 Pr 2.89
Sm 0.7544 0.0000 0.2456  2 Pr 2.89
Sm 0.7544 0.2456 0.0000  2 Pr 2.89
Sm 0.7544 0.5087 0.7544  2 Pr 2.89
Sm 0.7544 0.7544 0.5087  2 Pr 2.89
Ho 0.0000 0.0000 0.0000  12 Sm 4.02



Record 6
## Ca3Y (PBE)

Data for crystalline Ca3Y at its relaxed geometry.

## Properties
Formation energy ... 172 meV/atom
Energy relative to the lowest polymorph listed for this composition ... 13.8 kJ per mole of atoms
Total magnetization ... 0.0 Bohr magnetons per cell
Total DFT energy (no corrections) ... -2.945 eV per atom

Lattice parameters (Å, degrees): 6.8171 6.8171 6.8171 90.00 90.00 90.00
With the nearest neighbours (Å) after each atom.
Fractional positions:
Ca 0.0000 0.2500 0.5000  2 Ca 3.41, 4 Y 3.81
Ca 0.0000 0.7500 0.5000  2 Ca 3.41, 4 Y 3.81
Ca 0.2500 0.5000 0.0000  2 Ca 3.41, 4 Y 3.81
Ca 0.5000 0.0000 0.2500  2 Ca 3.41, 4 Y 3.81
Ca 0.5000 0.0000 0.7500  2 Ca 3.41, 4 Y 3.81
Ca 0.7500 0.5000 0.0000  2 Ca 3.41, 4 Y 3.81
Y 0.0000 0.0000 0.0000  12 Ca 3.81
Y 0.5000 0.5000 0.5000  12 Ca 3.81



Record 7
## Pr12Tl5Bi2 (PBE)

Data for crystalline Pr12Tl5Bi2 at its relaxed geometry.

## Properties
Formation energy ... -240 meV/atom
Total magnetization ... 0.0 Bohr magnetons per cell
Total DFT energy (no corrections) ... -4.289 eV per atom

Lattice parameters (Å, degrees): 9.9552 9.9552 9.1337 105.28 105.28 50.14
With the nearest neighbours (Å) after each atom.
Fractional positions:
Pr 0.0215 0.0215 0.2869  1 Tl 3.18, 2 Bi 3.20
Pr 0.0493 0.5854 0.3144  1 Bi 3.27, 4 Tl 3.28-3.57
Pr 0.0845 0.6737 0.9551  3 Tl 3.19-3.43, 1 Pr 3.47
Pr 0.3263 0.9155 0.0449  3 Tl 3.19-3.43, 1 Pr 3.47
Pr 0.3896 0.3896 0.6619  2 Tl 3.15-3.47, 2 Bi 3.33
Pr 0.4146 0.9507 0.6856  1 Bi 3.27, 4 Tl 3.28-3.57
Pr 0.5854 0.0493 0.3144  1 Bi 3.27, 4 Tl 3.28-3.57
Pr 0.6104 0.6104 0.3381  2 Tl 3.15-3.47, 2 Bi 3.33
Pr 0.6737 0.0845 0.9551  3 Tl 3.19-3.43, 1 Pr 3.47
Pr 0.9155 0.3263 0.0449  3 Tl 3.19-3.43, 1 Pr 3.47
Pr 0.9507 0.4146 0.6856  1 Bi 3.27, 4 Tl 3.28-3.57
Pr 0.9785 0.9785 0.7131  1 Tl 3.18, 2 Bi 3.20
Tl 0.2057 0.2057 0.4030  6 Pr 3.18-3.47
Tl 0.2769 0.2769 0.9985  6 Pr 3.19-3.47
Tl 0.5000 0.5000 0.0000  6 Pr 3.15-3.25
Tl 0.7231 0.7231 0.0015  6 Pr 3.19-3.47
Tl 0.7943 0.7943 0.5970  6 Pr 3.18-3.47
Bi 0.2869 0.7131 0.5000  6 Pr 3.20-3.33
Bi 0.7131 0.2869 0.5000  6 Pr 3.20-3.33



Record 8
## TbDyEr5Sc2 (PBE)

Data for crystalline TbDyEr5Sc2 at its relaxed geometry.

## Properties
Formation energy ... 169 meV/atom
Total magnetization ... 0.0 Bohr magnetons per cell
Total DFT energy (no corrections) ... -4.798 eV per atom

Lattice parameters (Å, degrees): 10.9668 10.9668 9.2756 90.00 90.00 150.72
With the nearest neighbours (Å) after each atom.
Fractional positions:
Tb 0.1859 0.8141 0.5000  2 Sc 3.13-3.23, 5 Er 3.35-3.41, 2 Dy 3.47
Tb 0.8141 0.1859 0.0000  2 Sc 3.13-3.23, 5 Er 3.35-3.41, 2 Dy 3.47
Dy 0.4024 0.5976 0.9014  3 Er 3.02-3.36
Dy 0.5976 0.4024 0.4014  3 Er 3.02-3.36
Er 0.0106 0.9894 0.4977  1 Sc 3.17, 2 Dy 3.45, 2 Er 3.54
Er 0.2649 0.7351 0.8169  1 Dy 3.02, 1 Sc 3.22, 2 Er 3.34
Er 0.3069 0.6931 0.2013  5 Er 3.34-3.67, 2 Tb 3.35, 3 Sc 3.39-3.61, 1 Dy 3.44
Er 0.3917 0.6083 0.5277  4 Sc 3.17-3.45, 3 Er 3.21-3.52, 1 Dy 3.47
Er 0.4687 0.5313 0.2302  2 Dy 3.16-3.36, 5 Er 3.21-3.54, 2 Sc 3.35
Er 0.5313 0.4687 0.7302  2 Dy 3.16-3.36, 5 Er 3.21-3.54, 2 Sc 3.35
Er 0.6083 0.3917 0.0277  4 Sc 3.17-3.45, 3 Er 3.21-3.52, 1 Dy 3.47
Er 0.6931 0.3069 0.7013  5 Er 3.34-3.67, 2 Tb 3.35, 3 Sc 3.39-3.61, 1 Dy 3.44
Er 0.7351 0.2649 0.3169  1 Dy 3.02, 1 Sc 3.22, 2 Er 3.34
Er 0.9894 0.0106 0.9977  1 Sc 3.17, 2 Dy 3.45, 2 Er 3.54
Sc 0.1131 0.8869 0.8064  8 Er 3.17-3.45, 1 Tb 3.23, 1 Sc 3.51
Sc 0.1370 0.8630 0.1811  1 Tb 3.13, 2 Er 3.17
Sc 0.8630 0.1370 0.6811  1 Tb 3.13, 2 Er 3.17
Sc 0.8869 0.1131 0.3064  8 Er 3.17-3.45, 1 Tb 3.23, 1 Sc 3.51